[1]
A plane-wave DFT calculation with PBE-GGA was carried out for Sb2BrCl after structural relaxation.

a = 3.4247 Å, b = 6.0805 Å, c = 9.9422 Å
α = 90.00°, β = 90.00°, γ = 90.00°
With the nearest neighbours (Å) after each atom.
Space group Cmmm (No. 65)
One atom of each set of equivalent atoms:
Sb 0.0000 0.0000 0.2444  2 Cl 2.97, 2 Br 3.06
Br 0.0000 0.5000 0.5000  4 Sb 3.06, 2 Br 3.42
Cl 0.0000 0.5000 0.0000  4 Sb 2.97

Properties
For the energy relative to the lowest polymorph listed for this composition, the calculation gives 327 meV per atom. Its crystal system is orthorhombic. Its raw total energy is -24.00 eV/cell. The uncorrected formation energy comes out at -0.0593 eV per atom. Its total magnetization is 0.00 μB per cell.



[2]
A plane-wave DFT calculation with PBE-GGA was carried out for Sb2BrCl after structural relaxation.

a = 4.1772 Å, b = 4.9453 Å, c = 5.8836 Å
α = 90.00°, β = 92.20°, γ = 90.00°
With the nearest neighbours (Å) after each atom.
Space group P2/m (No. 10)
One atom of each set of equivalent atoms:
Sb 0.2361 0.0000 0.3215  2 Cl 2.89, 2 Sb 2.94-2.99
Br 0.0000 0.5000 0.0000  4 Sb 3.24, 2 Cl 3.54
Cl 0.5000 0.5000 0.5000  4 Sb 2.89

Properties
For the energy relative to the lowest polymorph listed for this composition, the calculation gives 211 meV per atom. Its crystal system is monoclinic. Its raw total energy is -12.47 eV/cell. The uncorrected formation energy comes out at -0.1753 eV per atom. Its total magnetization is 0.00 μB per cell.



[3]
A plane-wave DFT calculation with PBE-GGA was carried out for Sb2BrCl after structural relaxation.

a = 3.8790 Å, b = 3.8790 Å, c = 7.2959 Å
α = 90.00°, β = 90.00°, γ = 90.00°
With the nearest neighbours (Å) after each atom.
Space group P4/mmm (No. 123)
One atom of each set of equivalent atoms:
Sb 0.0000 0.0000 0.2017  1 Sb 2.94, 4 Cl 3.11
Br 0.5000 0.5000 0.5000  8 Sb 3.50, 2 Cl 3.65, 4 Br 3.88
Cl 0.5000 0.5000 0.0000  8 Sb 3.11

Properties
For the energy relative to the lowest polymorph listed for this composition, the calculation gives 563 meV per atom. Its crystal system is tetragonal. Its raw total energy is -11.06 eV/cell. The uncorrected formation energy comes out at 0.1767 eV per atom. Its total magnetization is 0.00 μB per cell.